DFT (GGA-PBE) results for a geometry-optimized Tb4PrSmEr2 structure.

Calculated values
The value obtained for the volume is 38.052 A^3/atom. The formation energy comes out at 0.575 eV per atom. The crystal system is triclinic. As for the energy: -4.0678 eV/atom.

Cell: 10.080 8.323 13.154 Å, 108.53 140.56 89.79°
Fractional positions:
Tb (0.083, 0.167, 0.834)
Sm (0.000, 0.500, 0.000)
Sm (0.000, 0.500, 0.500)
Er (0.500, 0.500, 0.000)
Tb (0.514, 0.632, 0.769)
Er (0.500, 0.000, 0.500)
Er (0.000, 0.000, 0.500)
Tb (0.883, 0.362, 0.630)
Tb (0.486, 0.368, 0.231)
Er (0.500, 0.000, 0.000)
Pr (0.500, 0.500, 0.500)
Tb (0.118, 0.232, 0.372)
Pr (0.000, 0.000, 0.000)
Tb (0.917, 0.833, 0.166)
Tb (0.117, 0.638, 0.370)
Tb (0.882, 0.768, 0.628)